(1)
! SiSn2N (PBE-GGA, optimized geometry); values from VASP
! Spin magnetization (μB/cell): 0.00
! Space-group type: No. 225
! Energy relative to the elements, uncorrected (meV per atom): 1049
! Excess energy over the best structure of this formula in the dataset (kJ/mol of atoms): 62.2
&SYSTEM
  ibrav = 0, nat = 4, ntyp = 3
/
ATOMIC_SPECIES
Si 28.09 Si.upf
Sn 118.71 Sn.upf
N 14.01 N.upf
ATOMIC_POSITIONS angstrom
Si 1.786 -5.342 -1.079
Sn 0.893 -2.671 -0.539
N 0.000 0.000 0.000
Sn 2.679 -8.012 -1.618
CELL_PARAMETERS angstrom
3.482 -3.067 0.628
-0.961 -4.545 0.589
1.051 -3.071 -3.374

(2)
! CaDy6Ho6 (PBE-GGA, optimized geometry); values from VASP
! Spin magnetization (μB/cell): 2.86
! Space-group type: No. 191
! Calculated formation energy (eV/atom): 0.28
&SYSTEM
  ibrav = 0, nat = 13, ntyp = 3
/
ATOMIC_SPECIES
Ho 164.93 Ho.upf
Dy 162.50 Dy.upf
Ca 40.08 Ca.upf
ATOMIC_POSITIONS angstrom
Ho 1.172 0.804 4.120
Ho 8.015 -3.447 2.869
Dy 3.587 -0.103 1.704
Dy -1.622 -0.981 3.353
Dy 6.672 -0.192 3.170
Ca 0.000 0.000 0.000
Dy 4.608 -3.864 3.310
Ho 2.821 -3.297 0.401
Ho 6.365 0.655 6.588
Dy -0.522 -3.715 0.875
Ho 6.652 -2.570 5.784
Ho 1.462 -2.421 3.318
Dy 3.507 -1.127 5.792
CELL_PARAMETERS angstrom
-2.721 1.753 5.833
0.577 -6.449 -1.605
10.259 -0.295 4.875

(3)
! RhWCl2 (PBE-GGA, optimized geometry); values from VASP
! Spin magnetization (μB/cell): 0.00
! Space-group type: No. 6
! Energy relative to the elements, uncorrected (meV per atom): -191
! Excess energy over the best structure of this formula in the dataset (kJ/mol of atoms): 0.0
&SYSTEM
  ibrav = 0, nat = 4, ntyp = 3
/
ATOMIC_SPECIES
Rh 102.91 Rh.upf
Cl 35.45 Cl.upf
W 183.84 W.upf
ATOMIC_POSITIONS angstrom
Rh 0.000 2.658 4.278
Cl 1.530 1.014 2.686
Cl 0.000 4.301 7.464
W 1.530 4.303 5.603
CELL_PARAMETERS angstrom
3.060 0.000 0.000
0.000 3.294 0.005
0.000 1.616 8.007

(4)
! Al2VNi9 (PBE-GGA, optimized geometry); values from VASP
! Spin magnetization (μB/cell): 0.00
! Space-group type: No. 123
! Calculated formation energy (eV/atom): -0.40
&SYSTEM
  ibrav = 0, nat = 12, ntyp = 3
/
ATOMIC_SPECIES
Ni 58.69 Ni.upf
Al 26.98 Al.upf
V 50.94 V.upf
ATOMIC_POSITIONS angstrom
Ni -7.445 -1.316 0.009
Ni -1.969 -0.684 1.359
Al -3.526 0.559 -0.245
Ni -8.971 -0.078 -1.593
Ni -9.060 0.441 0.867
Ni -1.880 -1.202 -1.100
Al -6.995 1.109 -0.486
Ni -3.915 -1.875 0.254
Ni -5.514 -0.121 1.113
Ni -0.420 -2.430 0.497
V 0.000 0.000 0.000
Ni -5.426 -0.640 -1.347
CELL_PARAMETERS angstrom
-0.331 -2.949 -1.962
-0.508 -1.911 2.957
-10.520 1.668 -0.731

(5)
! BaCaRu (PBE-GGA, optimized geometry); values from VASP
! Spin magnetization (μB/cell): 0.00
! Space-group type: No. 42
! Excess energy over the best structure of this formula in the dataset (kJ/mol of atoms): 0.0
! Calculated formation energy (eV/atom): 0.37
&SYSTEM
  ibrav = 0, nat = 3, ntyp = 3
/
ATOMIC_SPECIES
Ru 101.07 Ru.upf
Ca 40.08 Ca.upf
Ba 137.33 Ba.upf
ATOMIC_POSITIONS angstrom
Ru -4.052 -8.907 3.486
Ca -1.042 -4.129 3.431
Ba 0.816 -1.179 3.397
CELL_PARAMETERS angstrom
-4.695 -5.529 2.450
-1.849 -7.336 1.081
1.133 -0.675 3.391

(6)
! PuGa2Os (PBE-GGA, optimized geometry); values from VASP
! Spin magnetization (μB/cell): 4.27
! Space-group type: No. 225
! Excess energy over the best structure of this formula in the dataset (kJ/mol of atoms): 18.2
! Calculated formation energy (eV/atom): -0.09
&SYSTEM
  ibrav = 0, nat = 4, ntyp = 3
/
ATOMIC_SPECIES
Ga 69.72 Ga.upf
Pu 244.00 Pu.upf
Os 190.23 Os.upf
ATOMIC_POSITIONS angstrom
Ga -0.530 -2.772 0.172
Pu 0.000 0.000 0.000
Os -1.060 -5.544 0.344
Ga -1.590 -8.317 0.516
CELL_PARAMETERS angstrom
-1.022 -3.800 -2.416
1.703 -4.090 1.301
-2.800 -3.198 1.803